Record 1
{
  "formula": "Er3GeO7",
  "functional": "PBE",
  "state": "relaxed",
  "volume_a3_per_atom": 12.58,
  "total_magnetization_mub_per_cell": 2.12,
  "mass_density_g_cm3": 8.2,
  "energy_ev_per_atom": -7.71,
  "cell": [[-6.0623, -0.6096, -1.7818], [3.0098, -5.5337, -0.7861], [-1.7994, -1.9428, 6.7867]],
  "species": ["Er", "Er", "Er", "Er", "Er", "Er", "Ge", "Ge", "O", "O", "O", "O", "O", "O", "O", "O", "O", "O", "O", "O", "O", "O"],
  "frac_coords": [[0.4730, 0.4730, 0.5000], [0.5270, 0.5270, 0.0000], [0.5376, 0.9960, 0.2549], [0.4624, 0.0040, 0.7549], [0.9960, 0.5376, 0.7451], [0.0040, 0.4624, 0.2451], [0.0025, 0.0025, 0.5000], [0.9975, 0.9975, 0.0000], [0.6889, 0.9357, 0.5355], [0.3111, 0.0643, 0.0355], [0.9357, 0.6889, 0.4645], [0.0643, 0.3111, 0.9645], [0.0768, 0.3211, 0.5274], [0.9232, 0.6789, 0.0274], [0.3211, 0.0768, 0.4726], [0.6789, 0.9232, 0.9726], [0.3701, 0.6299, 0.2500], [0.6299, 0.3701, 0.7500], [0.6353, 0.3647, 0.2500], [0.3647, 0.6353, 0.7500], [0.9324, 0.0676, 0.2500], [0.0676, 0.9324, 0.7500]]
}

Record 2
{
  "formula": "Er2Ge2O7",
  "functional": "PBE",
  "state": "relaxed",
  "volume_a3_per_atom": 13.16,
  "total_magnetization_mub_per_cell": 0.00,
  "mass_density_g_cm3": 6.8,
  "energy_ev_per_atom": -7.46,
  "cell": [[6.8278, 0.0000, 0.0000], [0.0000, 6.8278, 0.0000], [0.0000, 0.0000, 12.4244]],
  "species": ["Er", "Er", "Er", "Er", "Er", "Er", "Er", "Er", "Ge", "Ge", "Ge", "Ge", "Ge", "Ge", "Ge", "Ge", "O", "O", "O", "O", "O", "O", "O", "O", "O", "O", "O", "O", "O", "O", "O", "O", "O", "O", "O", "O", "O", "O", "O", "O", "O", "O", "O", "O"],
  "frac_coords": [[0.6460, 0.1256, 0.3650], [0.3540, 0.8744, 0.8650], [0.1256, 0.6460, 0.6350], [0.6256, 0.8540, 0.1150], [0.3744, 0.1460, 0.6150], [0.8540, 0.6256, 0.8850], [0.1460, 0.3744, 0.3850], [0.8744, 0.3540, 0.1350], [0.8488, 0.1000, 0.8814], [0.1512, 0.9000, 0.3814], [0.1000, 0.8488, 0.1186], [0.6000, 0.6512, 0.6314], [0.4000, 0.3488, 0.1314], [0.6512, 0.6000, 0.3686], [0.3488, 0.4000, 0.8686], [0.9000, 0.1512, 0.6186], [0.8565, 0.3191, 0.9556], [0.1435, 0.6809, 0.4556], [0.3191, 0.8565, 0.0444], [0.8191, 0.6435, 0.7056], [0.1809, 0.3565, 0.2056], [0.6435, 0.8191, 0.2944], [0.3565, 0.1809, 0.7944], [0.6809, 0.1435, 0.5444], [0.6620, 0.9343, 0.9291], [0.3380, 0.0657, 0.4291], [0.9343, 0.6620, 0.0709], [0.4343, 0.8380, 0.6791], [0.5657, 0.1620, 0.1791], [0.8380, 0.4343, 0.3209], [0.1620, 0.5657, 0.8209], [0.0657, 0.3380, 0.5709], [0.8033, 0.1967, 0.7500], [0.3033, 0.3033, 0.0000], [0.6967, 0.6967, 0.5000], [0.1967, 0.8033, 0.2500], [0.0788, 0.9663, 0.6221], [0.5337, 0.5788, 0.8721], [0.4663, 0.4212, 0.3721], [0.5788, 0.5337, 0.1279], [0.4212, 0.4663, 0.6279], [0.9212, 0.0337, 0.1221], [0.9663, 0.0788, 0.3779], [0.0337, 0.9212, 0.8779]]
}

Record 3
{
  "formula": "ErGeO2",
  "functional": "PBE",
  "state": "relaxed",
  "volume_a3_per_atom": 16.50,
  "total_magnetization_mub_per_cell": 0.00,
  "mass_density_g_cm3": 6.8,
  "energy_ev_per_atom": -6.03,
  "cell": [[-0.7263, -1.4826, -3.0071], [1.5280, -2.9444, -0.8742], [-4.5356, -4.7988, 1.5047]],
  "species": ["Ge", "O", "O", "Er"],
  "frac_coords": [[0.5000, 0.5000, 0.5000], [0.1114, 0.1114, 0.6659], [0.8886, 0.8886, 0.3341], [0.0000, 0.0000, 0.0000]]
}

Record 4
{
  "formula": "Er4Ge2O",
  "functional": "PBE",
  "state": "relaxed",
  "volume_a3_per_atom": 21.98,
  "total_magnetization_mub_per_cell": 0.00,
  "mass_density_g_cm3": 9.0,
  "energy_ev_per_atom": -5.96,
  "cell": [[4.4413, 0.0000, 0.0000], [0.0000, 4.4413, 0.0000], [-2.2207, -2.2207, 7.7995]],
  "species": ["Ge", "Ge", "O", "Er", "Er", "Er", "Er"],
  "frac_coords": [[0.6365, 0.6365, 0.2729], [0.3635, 0.3635, 0.7271], [0.0000, 0.0000, 0.0000], [0.8227, 0.8227, 0.6455], [0.1773, 0.1773, 0.3545], [0.0000, 0.5000, 0.0000], [0.5000, 0.0000, 0.0000]]
}

Record 5
{
  "formula": "ErGe2O6",
  "functional": "PBE",
  "state": "relaxed",
  "volume_a3_per_atom": 15.99,
  "total_magnetization_mub_per_cell": 2.07,
  "mass_density_g_cm3": 4.7,
  "energy_ev_per_atom": -6.83,
  "cell": [[5.6467, 0.2195, 1.0404], [1.2639, 7.1244, 0.7144], [0.3347, -0.0114, 7.2631]],
  "species": ["Er", "Er", "Ge", "Ge", "Ge", "Ge", "O", "O", "O", "O", "O", "O", "O", "O", "O", "O", "O", "O"],
  "frac_coords": [[0.2500, 0.8907, 0.1093], [0.7500, 0.1093, 0.8907], [0.2836, 0.3574, 0.2177], [0.7836, 0.2177, 0.3574], [0.2164, 0.7823, 0.6426], [0.7164, 0.6426, 0.7823], [0.3758, 0.1639, 0.0727], [0.8758, 0.0727, 0.1639], [0.1242, 0.9273, 0.8361], [0.6242, 0.8361, 0.9273], [0.3041, 0.5750, 0.0850], [0.8041, 0.0850, 0.5750], [0.1959, 0.9150, 0.4250], [0.6959, 0.4250, 0.9150], [0.4718, 0.3333, 0.3872], [0.9718, 0.3872, 0.3333], [0.0282, 0.6128, 0.6667], [0.5282, 0.6667, 0.6128]]
}

Record 6
{
  "formula": "ErGeO4",
  "functional": "PBE",
  "state": "relaxed",
  "volume_a3_per_atom": 11.22,
  "total_magnetization_mub_per_cell": 2.03,
  "mass_density_g_cm3": 7.5,
  "energy_ev_per_atom": -6.97,
  "cell": [[5.1668, 0.0000, 0.0000], [0.0000, 5.3195, -0.0703], [-2.5834, -2.1485, 4.9289]],
  "species": ["Er", "Er", "Ge", "Ge", "O", "O", "O", "O", "O", "O", "O", "O"],
  "frac_coords": [[0.2200, 0.7500, 0.0000], [0.7800, 0.2500, 0.0000], [0.5000, 0.5000, 0.5000], [0.0000, 0.0000, 0.5000], [0.2074, 0.1663, 0.3282], [0.1208, 0.6663, 0.3282], [0.6857, 0.9522, 0.1836], [0.4979, 0.4522, 0.1836], [0.3143, 0.0478, 0.8164], [0.5021, 0.5478, 0.8164], [0.7926, 0.8337, 0.6718], [0.8792, 0.3337, 0.6718]]
}

Record 7
{
  "formula": "Er2GeO",
  "functional": "PBE",
  "state": "relaxed",
  "volume_a3_per_atom": 21.04,
  "total_magnetization_mub_per_cell": 0.00,
  "mass_density_g_cm3": 8.4,
  "relative_energy_mev_per_atom": 0,
  "energy_ev_per_atom": -6.63,
  "cell": [[4.2476, 0.0000, -0.0010], [0.0000, 3.8370, 0.0000], [0.0023, 0.0000, 10.3264]],
  "species": ["Er", "Er", "Er", "Er", "Ge", "Ge", "O", "O"],
  "frac_coords": [[0.7009, 0.8587, 0.2015], [0.7010, 0.3579, 0.7218], [0.2010, 0.8580, 0.4942], [0.2009, 0.3587, 0.0145], [0.2011, 0.8581, 0.7805], [0.7011, 0.3581, 0.4354], [0.2009, 0.8586, 0.1310], [0.7009, 0.3587, 0.0850]]
}

Record 8
{
  "formula": "Er2PaGeO8",
  "functional": "PBE",
  "state": "relaxed",
  "volume_a3_per_atom": 13.74,
  "total_magnetization_mub_per_cell": 0.96,
  "mass_density_g_cm3": 7.7,
  "energy_ev_per_atom": -8.08,
  "cell": [[-3.5863, -3.1926, 1.2565], [1.8477, -3.1785, -3.3318], [3.9818, -2.6201, 4.7077]],
  "species": ["Er", "Er", "Pa", "Ge", "O", "O", "O", "O", "O", "O", "O", "O"],
  "frac_coords": [[0.5000, 0.5000, 0.7628], [0.5000, 0.5000, 0.2372], [0.0000, 0.0000, 0.5000], [0.0000, 0.0000, 0.0000], [0.1818, 0.8175, 0.2245], [0.7282, 0.7287, 0.0000], [0.8182, 0.1825, 0.2244], [0.8182, 0.1825, 0.7755], [0.2718, 0.2713, 0.0000], [0.1818, 0.8175, 0.7756], [0.6963, 0.6970, 0.5000], [0.3037, 0.3030, 0.5000]]
}

Record 9
{
  "formula": "ErPaGeO6",
  "functional": "PBE",
  "state": "relaxed",
  "volume_a3_per_atom": 13.03,
  "total_magnetization_mub_per_cell": 0.00,
  "mass_density_g_cm3": 8.0,
  "energy_ev_per_atom": -8.26,
  "cell": [[-0.0178, -4.5308, -2.8320], [0.3149, -0.1827, 5.3306], [-9.4668, -0.3057, 0.5487]],
  "species": ["Er", "Er", "Pa", "Pa", "Ge", "Ge", "O", "O", "O", "O", "O", "O", "O", "O", "O", "O", "O", "O"],
  "frac_coords": [[0.3333, 0.6667, 0.2500], [0.6667, 0.3333, 0.7500], [0.0000, 0.0000, 0.0000], [0.0000, 0.0000, 0.5000], [0.6667, 0.3333, 0.2500], [0.3333, 0.6667, 0.7500], [0.6840, 0.6406, 0.1332], [0.9566, 0.3160, 0.1332], [0.3160, 0.9566, 0.6332], [0.0434, 0.6840, 0.8668], [0.3594, 0.3160, 0.3668], [0.9566, 0.6406, 0.3668], [0.6406, 0.9566, 0.8668], [0.6840, 0.0434, 0.3668], [0.0434, 0.3594, 0.6332], [0.3594, 0.0434, 0.1332], [0.6406, 0.6840, 0.6332], [0.3160, 0.3594, 0.8668]]
}

Record 10
{
  "formula": "PmErGe2O8",
  "functional": "PBE",
  "state": "relaxed",
  "volume_a3_per_atom": 12.47,
  "total_magnetization_mub_per_cell": 2.03,
  "mass_density_g_cm3": 6.5,
  "energy_ev_per_atom": -7.08,
  "cell": [[-1.8146, -0.4427, 4.7770], [2.5030, -4.4444, 0.5389], [4.1954, 5.2407, -0.6743]],
  "species": ["Pm", "Er", "Ge", "Ge", "O", "O", "O", "O", "O", "O", "O", "O"],
  "frac_coords": [[0.7500, 0.2500, 0.5000], [0.0000, 0.0000, 0.0000], [0.5000, 0.5000, 0.0000], [0.2500, 0.7500, 0.5000], [0.7353, 0.8358, 0.1576], [0.4223, 0.3218, 0.1576], [0.5905, 0.6904, 0.6681], [0.0775, 0.9776, 0.6681], [0.0224, 0.4095, 0.3319], [0.3096, 0.9225, 0.3319], [0.1642, 0.5777, 0.8424], [0.6782, 0.2647, 0.8424]]
}

Record 11
{
  "formula": "Pr2Er4Ge3O2",
  "functional": "PBE",
  "state": "relaxed",
  "volume_a3_per_atom": 22.60,
  "total_magnetization_mub_per_cell": 0.92,
  "mass_density_g_cm3": 8.0,
  "energy_ev_per_atom": -6.29,
  "cell": [[4.5392, 0.0000, 0.0000], [0.0000, 4.5392, 0.0000], [-2.2696, -2.2696, 12.0628]],
  "species": ["Pr", "Pr", "Er", "Er", "Er", "Er", "Ge", "Ge", "Ge", "O", "O"],
  "frac_coords": [[0.3019, 0.3019, 0.6037], [0.6981, 0.6981, 0.3963], [0.4208, 0.9208, 0.8417], [0.9208, 0.4208, 0.8417], [0.0792, 0.5792, 0.1583], [0.5792, 0.0792, 0.1583], [0.0000, 0.0000, 0.0000], [0.1694, 0.1694, 0.3388], [0.8306, 0.8306, 0.6612], [0.4113, 0.4113, 0.8225], [0.5887, 0.5887, 0.1775]]
}

Record 12
{
  "formula": "ErPuGe2O8",
  "functional": "PBE",
  "state": "relaxed",
  "volume_a3_per_atom": 13.22,
  "total_magnetization_mub_per_cell": 3.00,
  "mass_density_g_cm3": 7.2,
  "energy_ev_per_atom": -7.99,
  "cell": [[5.9154, 0.1212, 0.0000], [-2.5150, 5.3555, 0.0000], [-1.7002, -2.7383, 4.9616]],
  "species": ["Er", "Pu", "Ge", "Ge", "O", "O", "O", "O", "O", "O", "O", "O"],
  "frac_coords": [[0.0000, 0.0000, 0.0000], [0.2500, 0.7500, 0.5000], [0.7500, 0.2500, 0.5000], [0.5000, 0.5000, 0.0000], [0.3784, 0.0612, 0.3172], [0.3159, 0.5036, 0.1878], [0.3159, 0.1281, 0.8122], [0.7439, 0.0612, 0.6828], [0.8719, 0.6841, 0.1878], [0.9388, 0.2561, 0.3172], [0.9388, 0.6216, 0.6828], [0.4964, 0.6841, 0.8122]]
}